Entry 1:
VASP calculation (PBE) on a relaxed structure of CdRe2Ni.

extended XYZ file:
```
8
Lattice="-1.848 1.848 9.732 1.848 -1.848 9.732 1.848 1.848 -9.732" Properties=species:S:1:pos:R:3 pbc="T T T"
Cd 0.000 0.000 0.000
Cd 0.000 1.848 4.866
Re 0.924 -0.792 7.299
Re 1.056 0.924 2.433
Re 0.924 2.640 -2.433
Re 0.792 0.924 12.164
Ni 1.848 0.000 4.866
Ni 0.000 0.000 9.732
```

ΔE_f	0.8289	eV per atom
DFT total energy	-7.069	eV/atom
space-group type	I-42d (122)
Fermi-level density of states	7.828	states/eV/cell

Entry 2:
VASP calculation (PBE) on a relaxed structure of Cd2ReNi.

extended XYZ file:
```
4
Lattice="2.793 -4.637 0.000 2.793 4.637 0.000 -0.942 0.000 2.540" Properties=species:S:1:pos:R:3 pbc="T T T"
Cd 1.397 2.318 0.000
Cd 1.397 -2.318 0.000
Re -0.471 0.000 1.270
Ni 2.322 0.000 1.270
```

ΔE_f	0.5300	eV per atom
energy above the most stable polymorph in this dataset	1.18	eV/f.u.
DFT total energy	-4.485	eV/atom
space-group type	C2/m (12)
Fermi-level density of states	3.114	states/eV/cell

Entry 3:
VASP calculation (PBE) on a relaxed structure of Cd2ReNi.

extended XYZ file:
```
4
Lattice="5.390 -1.359 0.000 5.390 1.359 0.000 -2.231 0.000 4.577" Properties=species:S:1:pos:R:3 pbc="T T T"
Cd 0.000 0.000 0.000
Cd 1.010 0.000 2.765
Re 7.922 0.000 0.625
Ni 3.920 0.000 2.240
```

ΔE_f	0.4219	eV per atom
energy above the most stable polymorph in this dataset	0.75	eV/f.u.
DFT total energy	-4.593	eV/atom
space-group type	Cm (8)
Fermi-level density of states	4.715	states/eV/cell

Entry 4:
VASP calculation (PBE) on a relaxed structure of CdRe2Ni.

extended XYZ file:
```
4
Lattice="1.563 -2.215 0.000 1.563 2.215 0.000 0.000 0.000 8.861" Properties=species:S:1:pos:R:3 pbc="T T T"
Cd 0.000 0.000 0.000
Re 0.000 0.000 4.698
Re 1.563 0.000 2.551
Ni 1.563 0.000 6.649
```

ΔE_f	0.3317	eV per atom
DFT total energy	-7.566	eV/atom
space-group type	Cmm2 (35)
Fermi-level density of states	3.275	states/eV/cell